# 1
VASP calculation (PBE-GGA) on a relaxed SrPm2Au6 crystal.

Output
The value obtained for the energy relative to the elements is -6.34 eV/f.u. Its density of states at the Fermi level is 0.571 states/eV per atom. For the total magnetization, the calculation gives 0.00 μB per atom.

Lattice parameters (Å, degrees): 8.5991 8.5991 8.5991 154.18 125.91 60.88
Positions (direct):
Sr 0.0000 0.0000 0.0000
Pm 0.3584 0.8584 0.5000
Pm 0.6416 0.1416 0.5000
Au 0.0136 0.3231 0.6905
Au 0.3205 0.5000 0.8205
Au 0.3674 0.6769 0.6905
Au 0.6326 0.3231 0.3095
Au 0.6795 0.5000 0.1795
Au 0.9864 0.6769 0.3095

=====

# 2
VASP calculation (PBE-GGA) on a relaxed Tl2FeMo crystal.

Output
As for the energy above the most stable polymorph in this dataset: 586 meV per atom. The value obtained for the energy relative to the elements is 4.29 eV/f.u. Its density of states at the Fermi level is 1.381 states/eV per atom. For the total magnetization, the calculation gives 0.84 μB per atom.

Lattice parameters (Å, degrees): 4.7861 4.7861 4.7861 60.00 60.00 60.00
Positions (direct):
Tl 0.0000 0.0000 0.0000
Tl 0.2500 0.2500 0.2500
Fe 0.5000 0.5000 0.5000
Mo 0.7500 0.7500 0.7500